## Cs3Er3GaTe8 (GGA-PBE)

Data for Cs3Er3GaTe8 after structural relaxation.

```
15
Lattice="8.723 -0.001 -0.001 -4.363 7.562 -0.034 0.000 -5.004 9.277" Properties=species:S:1:pos:R:3 pbc="T T T"
Cs 0.000 0.000 0.000
Cs -2.181 3.781 -0.017
Cs 2.180 3.780 -0.018
Er 4.361 -2.503 4.638
Er 2.180 1.278 4.621
Er -2.181 1.279 4.621
Ga 0.000 -2.502 4.638
Te -0.001 2.531 2.852
Te 4.361 0.026 6.390
Te 4.361 2.625 2.942
Te -0.001 -0.069 6.300
Te 6.612 -1.290 2.953
Te -2.252 3.846 6.289
Te 2.112 -1.289 2.952
Te 2.248 3.845 6.289
```

## Properties
- Total DFT energy (no corrections): -4.0171 eV/atom
- Symmetry: C2/m
- Total magnetic moment: 0.0 μB per formula unit

---

## CdTcHgOs (GGA-PBE)

Data for CdTcHgOs after structural relaxation.

```
4
Lattice="2.886 0.000 -0.001 1.443 2.501 -0.001 0.008 -0.006 9.724" Properties=species:S:1:pos:R:3 pbc="T T T"
Tc 1.786 2.390 8.690
Os 1.778 0.732 0.944
Hg 1.786 0.719 6.193
Cd 1.778 2.400 3.412
```

## Properties
- E above lowest polymorph: 69 meV/atom
- Total DFT energy (no corrections): -5.4122 eV/atom
- Symmetry: P1
- Total magnetic moment: 0.0 μB per formula unit

---

## Sn2Hg2P (GGA-PBE)

Data for Sn2Hg2P after structural relaxation.

```
10
Lattice="7.233 0.000 0.000 0.000 7.233 0.000 0.000 0.000 5.083" Properties=species:S:1:pos:R:3 pbc="T T T"
P 0.000 0.000 0.000
P 3.617 3.617 0.000
Hg 1.204 4.821 2.541
Hg 4.821 6.029 2.541
Hg 6.029 2.412 2.541
Hg 2.412 1.204 2.541
Sn 2.492 6.108 0.000
Sn 6.108 4.742 0.000
Sn 4.742 1.125 0.000
Sn 1.125 2.492 0.000
```

## Properties
- E above lowest polymorph: 171 meV/atom
- Total DFT energy (no corrections): -2.6113 eV/atom
- Symmetry: P4/mbm
- Total magnetic moment: 0.0 μB per formula unit

---

## Sr2PrPt (GGA-PBE)

Data for Sr2PrPt after structural relaxation.

```
4
Lattice="3.992 0.000 0.000 1.996 3.457 0.000 1.996 1.152 11.349" Properties=species:S:1:pos:R:3 pbc="T T T"
Pr 0.000 0.000 0.000
Sr 1.996 1.152 7.533
Sr 5.989 3.457 3.816
Pt 3.992 2.305 5.675
```

## Properties
- Total DFT energy (no corrections): -3.7236 eV/atom
- Symmetry: R-3m
- Total magnetic moment: 0.0 μB per formula unit

---

## KCeAg4 (GGA-PBE)

Data for KCeAg4 after structural relaxation.

```
6
Lattice="5.866 0.000 0.000 2.933 5.080 0.000 2.933 1.693 4.790" Properties=species:S:1:pos:R:3 pbc="T T T"
K 0.000 0.000 0.000
Ag 5.866 3.387 0.594
Ag 5.866 1.689 2.995
Ag 7.337 4.236 2.995
Ag 4.396 4.236 2.995
Ce 2.933 1.693 1.197
```

## Properties
- Total DFT energy (no corrections): -2.9813 eV/atom
- Symmetry: F-43m
- Total magnetic moment: 2.0 μB per formula unit

---

## KLa2Mo (GGA-PBE)

Data for KLa2Mo after structural relaxation.

```
4
Lattice="12.268 0.010 0.006 11.705 3.676 0.006 11.705 1.800 3.205" Properties=species:S:1:pos:R:3 pbc="T T T"
K 26.759 4.114 2.413
La 34.757 5.344 3.134
La 18.761 2.884 1.691
Mo 8.920 1.371 0.804
```

## Properties
- E above lowest polymorph: 154 meV/atom
- Total DFT energy (no corrections): -4.9359 eV/atom
- Symmetry: R-3m
- Total magnetic moment: 0.0 μB per formula unit

---

## Pr4BiN2 (GGA-PBE)

Data for Pr4BiN2 after structural relaxation.

```
14
Lattice="4.000 0.000 0.000 -2.000 6.368 0.000 0.000 0.000 13.224" Properties=species:S:1:pos:R:3 pbc="T T T"
Pr 2.000 3.328 1.336
Pr 2.000 3.328 5.276
Pr 0.000 3.041 11.888
Pr 0.000 3.041 7.947
Pr 2.000 5.264 9.918
Pr 0.000 1.104 3.306
Pr 2.000 0.000 0.000
Pr 2.000 0.000 6.612
Bi 2.000 1.357 9.918
Bi 0.000 5.011 3.306
N 0.000 1.781 5.829
N 2.000 4.587 12.441
N 0.000 1.781 0.783
N 2.000 4.587 7.395
```

## Properties
- Total DFT energy (no corrections): -6.6123 eV/atom
- Symmetry: Cmcm
- Total magnetic moment: 0.1 μB per formula unit

---

## BaCu3Se3 (GGA-PBE)

Data for BaCu3Se3 after structural relaxation.

```
14
Lattice="-3.854 -3.160 4.688 5.332 -0.146 4.285 -1.879 6.067 2.545" Properties=species:S:1:pos:R:3 pbc="T T T"
Cu -1.903 2.244 2.445
Cu 2.197 1.444 2.779
Cu 2.072 -1.690 5.558
Cu -3.830 0.664 4.789
Cu 1.257 4.477 4.051
Cu -0.594 -1.616 3.415
Ba -0.200 1.381 5.759
Ba 0.000 0.000 0.000
Se 0.394 2.997 2.344
Se 3.060 2.924 4.486
Se -3.336 2.970 4.253
Se -0.224 -2.443 5.659
Se -2.397 -0.063 2.980
Se 1.703 -0.863 3.314
```

## Properties
- E above lowest polymorph: 0 meV/atom
- Total DFT energy (no corrections): -4.1995 eV/atom
- Symmetry: Pm-3n
- Total magnetic moment: 0.0 μB per formula unit